Material: LiPuHgIr
Method: DFT, PBE
State: relaxed

a b c (Å): 4.784 4.784 4.784
angles (deg): 60.00 60.00 60.00
Element x y z (fractional)
Li: 0.000 0.000 0.000
Pu: 0.750 0.750 0.750
Hg: 0.250 0.250 0.250
Ir: 0.500 0.500 0.500

Total moment   5.47 μB/cell
Formation enthalpy at 0 K   -0.153 eV/atom
Final energy   -0.4781 Ry/atom